Density functional theory data (GGA+U) for crystalline V2NiF at its relaxed geometry.

Computed properties:
The calculation puts the total energy at -4.133 eV/atom.

Lattice parameters (Å, degrees): 4.294 4.294 4.294 60.00 60.00 60.00
Site moments in Bohr magnetons follow the coordinates.
Atoms (fractional coordinates):
Ni (0.500, 0.500, 0.500)  -0.40
V (0.250, 0.250, 0.250)  2.73
V (0.750, 0.750, 0.750)  2.73
F (0.000, 0.000, 0.000)  0.07